Record 1
Compound: Cs2ThAs2S6
Source: Alexandria
Functional: GGA-PBE
Structure: optimized geometry

Geometry as CIF:
```
data_Cs2ThAs2S6
_cell_length_a 12.135
_cell_length_b 7.274
_cell_length_c 8.825
_cell_angle_alpha 90.00
_cell_angle_beta 113.89
_cell_angle_gamma 90.00
_space_group_name_H-M_alt 'C 1 2/m 1'
_space_group_IT_number 12
loop_
_space_group_symop_operation_xyz
'x,y,z'
'-x,-y,-z'
'-x,y,-z'
'x,-y,z'
'x+1/2,y+1/2,z'
'-x+1/2,-y+1/2,-z'
'-x+1/2,y+1/2,-z'
'x+1/2,-y+1/2,z'
loop_
_atom_site_label
_atom_site_type_symbol
_atom_site_fract_x
_atom_site_fract_y
_atom_site_fract_z
Cs1 Cs 0.202 0.000 0.157
Th1 Th 0.000 0.000 0.500
As1 As 0.074 0.500 0.206
S1 S 0.029 0.255 0.754
S2 S 0.242 0.000 0.579
```

Energy (eV/atom): -4.872
Total magnetization (μB per cell): 0.00
E_form (uncorrected) (meV per atom): -946


Record 2
Compound: Cs2TiAsS4
Source: Alexandria
Functional: GGA-PBE
Structure: optimized geometry

Geometry as CIF:
```
data_Cs2TiAsS4
_cell_length_a 6.654
_cell_length_b 13.150
_cell_length_c 25.587
_cell_angle_alpha 90.00
_cell_angle_beta 90.00
_cell_angle_gamma 90.00
_space_group_name_H-M_alt 'F d d d'
_space_group_IT_number 70
loop_
_space_group_symop_operation_xyz
'x,y,z'
'-x,-y,-z'
'-x+1/4,-y+1/4,z'
'x+1/4,y+1/4,-z'
'x,-y+1/4,-z+1/4'
'-x,y+1/4,z+1/4'
'-x+1/4,y,-z+1/4'
'x+1/4,-y,z+1/4'
'x,y+1/2,z+1/2'
'-x,-y+1/2,-z+1/2'
'-x+1/4,-y+3/4,z+1/2'
'x+1/4,y+3/4,-z+1/2'
'x,-y+3/4,-z+3/4'
'-x,y+3/4,z+3/4'
'-x+1/4,y+1/2,-z+3/4'
'x+1/4,-y+1/2,z+3/4'
'x+1/2,y,z+1/2'
'-x+1/2,-y,-z+1/2'
'-x+3/4,-y+1/4,z+1/2'
'x+3/4,y+1/4,-z+1/2'
'x+1/2,-y+1/4,-z+3/4'
'-x+1/2,y+1/4,z+3/4'
'-x+3/4,y,-z+3/4'
'x+3/4,-y,z+3/4'
'x+1/2,y+1/2,z'
'-x+1/2,-y+1/2,-z'
'-x+3/4,-y+3/4,z'
'x+3/4,y+3/4,-z'
'x+1/2,-y+3/4,-z+1/4'
'-x+1/2,y+3/4,z+1/4'
'-x+3/4,y+1/2,-z+1/4'
'x+3/4,-y+1/2,z+1/4'
loop_
_atom_site_label
_atom_site_type_symbol
_atom_site_fract_x
_atom_site_fract_y
_atom_site_fract_z
Cs1 Cs 0.125 0.125 0.304
Ti1 Ti 0.125 0.125 0.125
As1 As 0.125 0.125 0.625
S1 S 0.091 0.293 0.429
```

Energy (eV/atom): -4.753
Total magnetization (μB per cell): 0.00
E_form (uncorrected) (meV per atom): -908


Record 3
Compound: CsTlAsS3
Source: Alexandria
Functional: GGA-PBE
Structure: optimized geometry

Geometry as CIF:
```
data_CsTlAsS3
_cell_length_a 12.469
_cell_length_b 8.622
_cell_length_c 9.384
_cell_angle_alpha 90.00
_cell_angle_beta 122.42
_cell_angle_gamma 90.00
_space_group_name_H-M_alt 'C 1 2/m 1'
_space_group_IT_number 12
loop_
_space_group_symop_operation_xyz
'x,y,z'
'-x,-y,-z'
'-x,y,-z'
'x,-y,z'
'x+1/2,y+1/2,z'
'-x+1/2,-y+1/2,-z'
'-x+1/2,y+1/2,-z'
'x+1/2,-y+1/2,z'
loop_
_atom_site_label
_atom_site_type_symbol
_atom_site_fract_x
_atom_site_fract_y
_atom_site_fract_z
Cs1 Cs 0.192 0.000 0.197
Tl1 Tl 0.000 0.186 0.500
As1 As 0.027 0.500 0.154
S1 S 0.067 0.290 0.838
S2 S 0.230 0.500 0.341
```

Energy (eV/atom): -3.836
Total magnetization (μB per cell): 0.00
E_form (uncorrected) (meV per atom): -461


Record 4
Compound: Cs2TlAs2S6
Source: Alexandria
Functional: GGA-PBE
Structure: optimized geometry

Geometry as CIF:
```
data_Cs2TlAs2S6
_cell_length_a 13.095
_cell_length_b 7.396
_cell_length_c 8.650
_cell_angle_alpha 90.00
_cell_angle_beta 118.59
_cell_angle_gamma 90.00
_space_group_name_H-M_alt 'C 1 2/m 1'
_space_group_IT_number 12
loop_
_space_group_symop_operation_xyz
'x,y,z'
'-x,-y,-z'
'-x,y,-z'
'x,-y,z'
'x+1/2,y+1/2,z'
'-x+1/2,-y+1/2,-z'
'-x+1/2,y+1/2,-z'
'x+1/2,-y+1/2,z'
loop_
_atom_site_label
_atom_site_type_symbol
_atom_site_fract_x
_atom_site_fract_y
_atom_site_fract_z
Cs1 Cs 0.215 0.000 0.216
Tl1 Tl 0.000 0.000 0.500
As1 As 0.038 0.500 0.183
S1 S 0.043 0.253 0.796
S2 S 0.224 0.500 0.307
```

Energy (eV/atom): -3.927
Total magnetization (μB per cell): 0.00
E_form (uncorrected) (meV per atom): -460